This record from the Alexandria database describes W3Se at its PBEsol-relaxed geometry. The functional is SCAN.

Cell: 3.043 3.043 7.942 Å, 90.00 90.00 120.00°
Element x y z (fractional)
1 W 0.000 0.000 0.000
2 W 0.333 0.667 0.266
3 W 0.333 0.667 0.734
4 Se 0.000 0.000 0.500

excess energy over the best structure of this formula in the dataset	0.0	meV per atom
magnetic moment	0.00	μB/f.u.
electronic total energy	-227.10	eV per cell
E_form (uncorrected)	2.04	eV/f.u.

=====

This record from the Alexandria database describes W3Se2 at its PBEsol-relaxed geometry. The functional is SCAN.

Cell: 10.289 10.289 10.289 Å, 17.49 17.49 17.49°
Element x y z (fractional)
1 W 0.000 0.000 0.000
2 W 0.195 0.195 0.195
3 W 0.805 0.805 0.805
4 Se 0.394 0.394 0.394
5 Se 0.606 0.606 0.606

magnetic moment	0.00	μB/f.u.
electronic total energy	-246.85	eV per cell
E_form (uncorrected)	2.37	eV/f.u.

=====

This record from the Alexandria database describes WSe at its PBEsol-relaxed geometry. The functional is SCAN.

Cell: 4.349 4.349 4.349 Å, 40.64 40.64 40.64°
Element x y z (fractional)
1 W 0.000 0.000 0.000
2 Se 0.500 0.500 0.500

excess energy over the best structure of this formula in the dataset	433.1	meV per atom
magnetic moment	0.00	μB/f.u.
electronic total energy	-88.61	eV per cell
E_form (uncorrected)	1.16	eV/f.u.

=====

This record from the Alexandria database describes WSe3 at its PBEsol-relaxed geometry. The functional is SCAN.

Cell: 4.962 4.962 3.378 Å, 90.00 90.00 119.27°
Element x y z (fractional)
1 W 0.000 0.000 0.000
2 Se 0.000 0.500 0.500
3 Se 0.500 0.000 0.500
4 Se 0.500 0.500 0.000

excess energy over the best structure of this formula in the dataset	859.8	meV per atom
magnetic moment	0.00	μB/f.u.
electronic total energy	-126.02	eV per cell
E_form (uncorrected)	3.90	eV/f.u.

=====

This record from the Alexandria database describes YWSe4 at its PBEsol-relaxed geometry. The functional is SCAN.

Cell: 5.524 5.524 5.524 Å, 60.00 60.00 60.00°
Element x y z (fractional)
1 Y 0.000 0.000 0.000
2 W 0.250 0.250 0.250
3 Se 0.127 0.624 0.624
4 Se 0.624 0.127 0.624
5 Se 0.624 0.624 0.127
6 Se 0.624 0.624 0.624

magnetic moment	2.51	μB/f.u.
electronic total energy	-172.60	eV per cell
E_form (uncorrected)	5.24	eV/f.u.

=====

This record from the Alexandria database describes ZnW3Se at its PBEsol-relaxed geometry. The functional is SCAN.

Cell: 4.545 4.545 4.545 Å, 90.00 90.00 90.00°
Element x y z (fractional)
1 Zn 0.000 0.000 0.000
2 W 0.000 0.500 0.500
3 W 0.500 0.000 0.500
4 W 0.500 0.500 0.000
5 Se 0.500 0.500 0.500

magnetic moment	0.00	μB/f.u.
electronic total energy	-233.57	eV per cell
E_form (uncorrected)	9.08	eV/f.u.